No. 1
The following is a GGA-PBE calculation of a relaxed structure of LaHgH8Ir2, from Alexandria via LeMat-Bulk.

```
12
Lattice="-1.449 -0.459 -4.731 3.381 -0.663 -3.580 0.235 -6.173 -2.083" Properties=species:S:1:pos:R:3 pbc="T T T"
La 1.083 -3.648 -5.197
H 0.470 -2.840 -2.478
H 1.807 -5.582 -4.119
H 2.382 -1.793 -5.747
H -0.215 -5.502 -4.647
H 1.241 -5.779 -6.122
Hg 0.000 0.000 0.000
H 0.360 -1.714 -6.275
H 0.926 -1.516 -4.271
Ir 1.582 -6.088 -7.722
H 1.697 -4.455 -7.916
Ir 0.585 -1.208 -2.671
```

Calculated values
The value obtained for the total energy is -4.177 eV/atom. Its crystal system is trigonal. The calculation puts the volume at 10.43 Å³/atom. The density of states at the Fermi level is 0.238 states/eV per atom. The total magnetic moment is 0.00 μB/f.u.

---

No. 2
The following is a GGA-PBE calculation of a relaxed structure of Y2IrSe, from Alexandria via LeMat-Bulk.

```
4
Lattice="-0.593 -6.679 1.848 2.282 -4.842 4.442 -1.908 -4.276 5.144" Properties=species:S:1:pos:R:3 pbc="T T T"
Ir -0.101 -7.314 5.294
Se -0.171 -12.412 8.984
Y -0.047 -3.409 2.467
Y -0.008 -0.559 0.405
```

Calculated values
The value obtained for the total energy is -6.938 eV/atom. Its crystal system is trigonal. The calculation puts the volume at 25.85 Å³/atom. The density of states at the Fermi level is 0.617 states/eV per atom. The uncorrected formation energy is -0.619 eV per atom. The total magnetic moment is 0.62 μB/f.u.

---

No. 3
The following is a GGA-PBE calculation of a relaxed structure of Zn4InAg4, from Alexandria via LeMat-Bulk.

```
18
Lattice="-0.048 2.115 -3.415 -8.077 2.847 1.876 3.408 6.889 4.218" Properties=species:S:1:pos:R:3 pbc="T T T"
Zn -3.884 9.107 3.330
Ag -3.477 3.669 -0.051
Ag -5.009 6.856 1.961
Zn -0.344 5.569 3.452
Zn -3.192 8.669 0.689
Ag 0.292 4.988 0.730
Ag -5.427 1.917 1.254
Ag 1.070 4.371 -2.025
In -2.358 5.925 1.340
Ag -5.835 9.587 1.301
Ag 0.758 7.827 4.827
Zn -4.324 4.168 2.641
Zn -6.111 4.605 0.575
Zn -0.833 2.745 -0.653
In 0.000 0.000 0.000
Zn -1.573 5.296 -1.423
Ag -1.240 8.190 2.717
Zn 1.394 7.245 2.105
```

Calculated values
The value obtained for the total energy is -2.125 eV/atom. Its crystal system is tetragonal. The calculation puts the formation energy from the elements at 0.01 eV per atom. The calculation puts the volume at 17.16 Å³/atom. The density of states at the Fermi level is 0.348 states/eV per atom. The total magnetic moment is 0.00 μB/f.u.

---

No. 4
The following is a GGA-PBE calculation of a relaxed structure of Si2AgSb, from Alexandria via LeMat-Bulk.

```
4
Lattice="-0.550 -0.274 -3.261 -0.144 -3.302 0.301 -7.005 0.411 1.146" Properties=species:S:1:pos:R:3 pbc="T T T"
Si -1.781 -1.704 -1.245
Ag -3.278 0.192 0.536
Sb -5.574 -1.481 -0.625
Si -0.568 0.033 0.093
```

Calculated values
The value obtained for the total energy is -4.054 eV/atom. Its crystal system is tetragonal. The calculation puts the volume at 19.58 Å³/atom. The density of states at the Fermi level is 0.479 states/eV per atom. The uncorrected formation energy is 0.401 eV per atom. The total magnetic moment is 0.00 μB/f.u.